LiErNiF6 | PBE+U | relaxed

The total energy comes out at -5.39 eV/atom. As for the symmetry: P-31c. As for the density: 5.04 Mg/m³.

Lattice parameters (Å, degrees): 5.443 5.443 8.910 90.00 90.00 120.00
Fractional coordinates of all 18 atoms:
Li (0.000, 0.000, 0.000)
Li (0.000, 0.000, 0.500)
Er (0.333, 0.667, 0.250)
Er (0.667, 0.333, 0.750)
Ni (0.333, 0.667, 0.750)
Ni (0.667, 0.333, 0.250)
F (0.020, 0.348, 0.628)
F (0.020, 0.672, 0.872)
F (0.328, 0.348, 0.872)
F (0.328, 0.980, 0.628)
F (0.348, 0.020, 0.128)
F (0.348, 0.328, 0.372)
F (0.652, 0.672, 0.628)
F (0.652, 0.980, 0.872)
F (0.672, 0.020, 0.372)
F (0.672, 0.652, 0.128)
F (0.980, 0.328, 0.128)
F (0.980, 0.652, 0.372)